The following is a GGA-PBE calculation of a relaxed Li2Cu2Sn crystal, from the Alexandria database.

Cell: 3.800 3.800 6.411 Å, 72.76 72.76 90.00°
Atoms (fractional coordinates):
Li1 0.250 0.750 0.500
Li2 0.750 0.250 0.500
Sn1 0.000 0.000 0.000
Cu1 0.601 0.601 0.798
Cu2 0.399 0.399 0.202

## Properties
Uncorrected energy in eV/atom: -3.111
Mass density in g cm⁻³: 5.13
Magnetization in μB/cell: 0.0



The following is a GGA-PBE calculation of a relaxed LiCu2Sn2 crystal, from the Alexandria database.

Cell: 4.746 6.517 6.339 Å, 90.00 90.02 70.00°
Atoms (fractional coordinates):
Sn1 0.870 0.791 0.750
Sn2 0.536 0.488 0.750
Sn3 0.464 0.512 0.250
Sn4 0.130 0.209 0.250
Cu1 0.319 0.875 0.989
Cu2 0.681 0.125 0.011
Cu3 0.681 0.125 0.489
Cu4 0.319 0.875 0.511
Li1 0.155 0.222 0.750
Li2 0.845 0.778 0.250

## Properties
Uncorrected energy in eV/atom: -3.664
Mass density in g cm⁻³: 6.70
Magnetization in μB/cell: 0.0



The following is a GGA-PBE calculation of a relaxed Li5Cu2Sn4 crystal, from the Alexandria database.

Cell: 3.117 7.714 8.952 Å, 92.99 90.00 90.00°
Atoms (fractional coordinates):
Sn1 0.500 0.768 0.592
Sn2 0.500 0.232 0.408
Sn3 0.500 0.217 0.859
Sn4 0.500 0.783 0.141
Cu1 0.000 0.923 0.371
Cu2 0.000 0.077 0.629
Li1 0.000 0.880 0.871
Li2 0.000 0.559 0.344
Li3 0.000 0.500 0.000
Li4 0.000 0.441 0.656
Li5 0.000 0.120 0.129

## Properties
Uncorrected energy in eV/atom: -3.297
Mass density in g cm⁻³: 4.92
Magnetization in μB/cell: 0.0



The following is a GGA-PBE calculation of a relaxed Li3Cu2Sn4 crystal, from the Alexandria database.

Cell: 4.647 5.074 9.130 Å, 108.52 90.00 117.25°
Atoms (fractional coordinates):
Sn1 0.294 0.588 0.914
Sn2 0.957 0.913 0.652
Sn3 0.706 0.412 0.086
Sn4 0.043 0.087 0.348
Cu1 0.302 0.604 0.619
Cu2 0.698 0.396 0.381
Li1 0.641 0.283 0.657
Li2 0.000 0.000 0.000
Li3 0.359 0.717 0.343

## Properties
Uncorrected energy in eV/atom: -3.498
Mass density in g cm⁻³: 5.79
Magnetization in μB/cell: 0.0



The following is a GGA-PBE calculation of a relaxed Li5CuSn6 crystal, from the Alexandria database.

Cell: 4.893 6.869 7.688 Å, 90.00 71.44 90.00°
Atoms (fractional coordinates):
Sn1 0.162 0.237 0.675
Sn2 0.838 0.763 0.325
Sn3 0.500 0.766 0.000
Sn4 0.500 0.234 0.000
Sn5 0.838 0.237 0.325
Sn6 0.162 0.763 0.675
Li1 0.671 0.000 0.658
Li2 0.334 0.500 0.332
Li3 0.666 0.500 0.668
Li4 0.000 0.500 0.000
Li5 0.329 0.000 0.342
Cu1 0.000 0.000 0.000

## Properties
Uncorrected energy in eV/atom: -3.381
Mass density in g cm⁻³: 5.49
Magnetization in μB/cell: 0.0



The following is a GGA-PBE calculation of a relaxed Li2CuSn2 crystal, from the Alexandria database.

Cell: 6.601 6.601 4.217 Å, 90.00 90.00 90.00°
Atoms (fractional coordinates):
Li1 0.140 0.360 0.000
Li2 0.640 0.140 0.000
Li3 0.360 0.860 0.000
Li4 0.860 0.640 0.000
Sn1 0.170 0.670 0.500
Sn2 0.330 0.170 0.500
Sn3 0.670 0.830 0.500
Sn4 0.830 0.330 0.500
Cu1 0.500 0.500 0.000
Cu2 0.000 0.000 0.000

## Properties
Uncorrected energy in eV/atom: -3.255
Mass density in g cm⁻³: 5.69
Magnetization in μB/cell: 0.0



The following is a GGA-PBE calculation of a relaxed Li2Cu4Sn3 crystal, from the Alexandria database.

Cell: 4.381 4.837 8.119 Å, 98.26 90.00 116.93°
Atoms (fractional coordinates):
Li1 0.261 0.522 0.260
Li2 0.739 0.478 0.740
Cu1 0.706 0.412 0.067
Cu2 0.294 0.588 0.933
Cu3 0.912 0.824 0.359
Cu4 0.088 0.176 0.641
Sn1 0.000 0.000 0.000
Sn2 0.596 0.193 0.360
Sn3 0.404 0.807 0.640

## Properties
Uncorrected energy in eV/atom: -3.650
Mass density in g cm⁻³: 6.85
Magnetization in μB/cell: 0.0



The following is a GGA-PBE calculation of a relaxed LiCu3Sn crystal, from the Alexandria database.

Cell: 4.892 4.892 4.892 Å, 90.00 90.00 90.00°
Atoms (fractional coordinates):
Cu1 0.000 0.000 0.500
Cu2 0.000 0.500 0.000
Cu3 0.500 0.000 0.000
Sn1 0.000 0.000 0.000
Li1 0.500 0.500 0.500

## Properties
Uncorrected energy in eV/atom: -3.145
Mass density in g cm⁻³: 4.49
Magnetization in μB/cell: 0.0



The following is a GGA-PBE calculation of a relaxed Li4Cu2Sn crystal, from the Alexandria database.

Cell: 4.961 4.961 7.321 Å, 70.20 70.20 90.00°
Atoms (fractional coordinates):
Li1 0.000 0.500 0.000
Li2 0.209 0.209 0.581
Li3 0.791 0.791 0.419
Li4 0.500 0.000 0.000
Sn1 0.000 0.000 0.000
Cu1 0.408 0.408 0.184
Cu2 0.592 0.592 0.816

## Properties
Uncorrected energy in eV/atom: -2.536
Mass density in g cm⁻³: 2.87
Magnetization in μB/cell: 0.0



The following is a GGA-PBE calculation of a relaxed LiCu3Sn crystal, from the Alexandria database.

Cell: 4.252 4.252 4.252 Å, 90.00 90.00 90.00°
Atoms (fractional coordinates):
Cu1 0.000 0.000 0.500
Cu2 0.500 0.000 0.000
Cu3 0.000 0.500 0.000
Li1 0.000 0.000 0.000
Sn1 0.500 0.500 0.500

## Properties
Uncorrected energy in eV/atom: -3.175
Mass density in g cm⁻³: 6.83
Magnetization in μB/cell: 0.0



The following is a GGA-PBE calculation of a relaxed LiCu3Sn crystal, from the Alexandria database.

Cell: 3.521 3.521 6.912 Å, 104.75 104.75 90.00°
Atoms (fractional coordinates):
Cu1 0.424 0.424 0.849
Cu2 0.287 0.787 0.573
Cu3 0.787 0.287 0.573
Li1 0.969 0.969 0.938
Sn1 0.623 0.623 0.247

## Properties
Uncorrected energy in eV/atom: -3.647
Mass density in g cm⁻³: 6.57
Magnetization in μB/cell: 0.0



The following is a GGA-PBE calculation of a relaxed LiCuSn3 crystal, from the Alexandria database.

Cell: 6.902 6.902 11.131 Å, 75.41 75.41 62.02°
Atoms (fractional coordinates):
Li1 0.412 0.366 0.655
Li2 0.635 0.588 0.845
Li3 0.588 0.634 0.345
Li4 0.365 0.412 0.155
Cu1 0.236 0.764 0.750
Cu2 0.000 0.500 0.500
Cu3 0.500 0.000 0.000
Cu4 0.764 0.236 0.250
Sn1 0.789 0.590 0.090
Sn2 0.783 0.947 0.769
Sn3 0.590 0.789 0.590
Sn4 0.771 0.169 0.010
Sn5 0.053 0.217 0.731
Sn6 0.831 0.229 0.490
Sn7 0.410 0.211 0.410
Sn8 0.229 0.831 0.990
Sn9 0.217 0.053 0.231
Sn10 0.211 0.410 0.910
Sn11 0.169 0.771 0.510
Sn12 0.947 0.783 0.269

## Properties
Uncorrected energy in eV/atom: -3.654
Mass density in g cm⁻³: 6.33
Magnetization in μB/cell: 0.0



The following is a GGA-PBE calculation of a relaxed LiCu3Sn2 crystal, from the Alexandria database.

Cell: 4.346 7.126 8.139 Å, 118.30 90.00 107.75°
Atoms (fractional coordinates):
Li1 0.870 0.740 0.984
Li2 0.130 0.260 0.016
Sn1 0.447 0.893 0.777
Sn2 0.217 0.433 0.757
Sn3 0.783 0.567 0.243
Sn4 0.553 0.107 0.223
Cu1 0.781 0.562 0.600
Cu2 0.219 0.438 0.400
Cu3 0.598 0.197 0.622
Cu4 0.023 0.047 0.374
Cu5 0.402 0.803 0.378
Cu6 0.977 0.953 0.626

## Properties
Uncorrected energy in eV/atom: -3.772
Mass density in g cm⁻³: 6.94
Magnetization in μB/cell: 0.0



The following is a GGA-PBE calculation of a relaxed LiCu2Sn2 crystal, from the Alexandria database.

Cell: 4.548 4.491 9.051 Å, 90.00 90.00 90.00°
Atoms (fractional coordinates):
Cu1 0.250 0.250 0.828
Cu2 0.750 0.750 0.491
Cu3 0.250 0.250 0.509
Cu4 0.750 0.750 0.172
Sn1 0.750 0.250 0.989
Sn2 0.750 0.250 0.337
Sn3 0.250 0.750 0.011
Sn4 0.250 0.750 0.663
Li1 0.750 0.250 0.667
Li2 0.250 0.750 0.333

## Properties
Uncorrected energy in eV/atom: -3.745
Mass density in g cm⁻³: 6.67
Magnetization in μB/cell: 0.0



The following is a GGA-PBE calculation of a relaxed LiCu2Sn2 crystal, from the Alexandria database.

Cell: 7.198 7.198 3.604 Å, 90.00 90.00 90.00°
Atoms (fractional coordinates):
Cu1 0.877 0.623 0.000
Cu2 0.377 0.877 0.000
Cu3 0.123 0.377 0.000
Cu4 0.623 0.123 0.000
Sn1 0.177 0.677 0.500
Sn2 0.323 0.177 0.500
Sn3 0.823 0.323 0.500
Sn4 0.677 0.823 0.500
Li1 0.500 0.500 0.000
Li2 0.000 0.000 0.000

## Properties
Uncorrected energy in eV/atom: -3.661
Mass density in g cm⁻³: 6.61
Magnetization in μB/cell: 0.0



The following is a GGA-PBE calculation of a relaxed LiCu2Sn2 crystal, from the Alexandria database.

Cell: 4.681 4.681 5.909 Å, 66.66 66.66 90.00°
Atoms (fractional coordinates):
Cu1 0.622 0.622 0.757
Cu2 0.378 0.378 0.243
Li1 0.000 0.000 0.000
Sn1 0.750 0.250 0.500
Sn2 0.250 0.750 0.500

## Properties
Uncorrected energy in eV/atom: -3.537
Mass density in g cm⁻³: 5.75
Magnetization in μB/cell: 0.0



The following is a GGA-PBE calculation of a relaxed Li2CuSn2 crystal, from the Alexandria database.

Cell: 4.186 4.186 6.980 Å, 72.55 72.55 90.00°
Atoms (fractional coordinates):
Cu1 0.000 0.000 0.000
Sn1 0.250 0.750 0.500
Sn2 0.750 0.250 0.500
Li1 0.595 0.595 0.810
Li2 0.405 0.405 0.190

## Properties
Uncorrected energy in eV/atom: -2.949
Mass density in g cm⁻³: 4.72
Magnetization in μB/cell: 0.0



The following is a GGA-PBE calculation of a relaxed LiCu6Sn crystal, from the Alexandria database.

Cell: 4.379 5.286 5.286 Å, 118.57 90.00 90.00°
Atoms (fractional coordinates):
Sn1 0.500 0.412 0.588
Cu1 0.000 0.598 0.933
Cu2 0.000 0.067 0.402
Cu3 0.500 0.909 0.580
Cu4 0.500 0.913 0.087
Cu5 0.000 0.592 0.408
Cu6 0.500 0.420 0.091
Li1 0.000 0.089 0.911

## Properties
Uncorrected energy in eV/atom: -3.823
Mass density in g cm⁻³: 7.83
Magnetization in μB/cell: 0.0



The following is a GGA-PBE calculation of a relaxed Li8CuSn6 crystal, from the Alexandria database.

Cell: 8.027 8.027 7.494 Å, 57.62 57.62 60.00°
Atoms (fractional coordinates):
Li1 0.333 0.333 0.002
Li2 0.779 0.114 0.647
Li3 0.886 0.540 0.353
Li4 0.114 0.460 0.647
Li5 0.667 0.667 0.998
Li6 0.540 0.221 0.353
Li7 0.221 0.886 0.353
Li8 0.460 0.779 0.647
Sn1 0.730 0.372 0.845
Sn2 0.947 0.270 0.155
Sn3 0.053 0.730 0.845
Sn4 0.372 0.053 0.845
Sn5 0.628 0.947 0.155
Sn6 0.270 0.628 0.155
Cu1 0.000 0.000 0.000

## Properties
Uncorrected energy in eV/atom: -3.113
Mass density in g cm⁻³: 4.20
Magnetization in μB/cell: 0.0



The following is a GGA-PBE calculation of a relaxed Sr2LiCuSn crystal, from the Alexandria database.

Cell: 5.972 4.827 5.972 Å, 90.00 90.00 90.00°
Atoms (fractional coordinates):
Li1 0.500 0.500 0.500
Sn1 0.000 0.500 0.000
Sr1 0.000 0.000 0.500
Sr2 0.500 0.000 0.000
Cu1 0.000 0.000 0.000

## Properties
Uncorrected energy in eV/atom: -2.807
Mass density in g cm⁻³: 3.52
Magnetization in μB/cell: 0.0



The following is a GGA-PBE calculation of a relaxed Sr2LiCu3Sn4 crystal, from the Alexandria database.

Cell: 4.621 4.621 10.849 Å, 90.00 90.00 90.00°
Atoms (fractional coordinates):
Sn1 0.000 0.000 0.000
Sn2 0.000 0.500 0.374
Sn3 0.500 0.000 0.626
Sn4 0.500 0.500 0.000
Cu1 0.000 0.000 0.500
Cu2 0.000 0.500 0.132
Cu3 0.500 0.000 0.868
Li1 0.500 0.500 0.500
Sr1 0.000 0.500 0.743
Sr2 0.500 0.000 0.257

## Properties
Uncorrected energy in eV/atom: -3.716
Mass density in g cm⁻³: 6.07
Magnetization in μB/cell: 0.0



The following is a GGA-PBE calculation of a relaxed SrLiCuSn2 crystal, from the Alexandria database.

Cell: 4.581 4.581 6.565 Å, 110.42 110.42 90.00°
Atoms (fractional coordinates):
Li1 0.750 0.250 0.500
Sn1 0.626 0.626 0.252
Sn2 0.374 0.374 0.748
Sr1 0.000 0.000 0.000
Cu1 0.250 0.750 0.500

## Properties
Uncorrected energy in eV/atom: -3.532
Mass density in g cm⁻³: 5.48
Magnetization in μB/cell: 0.0



The following is a GGA-PBE calculation of a relaxed LiThCu2Sn2 crystal, from the Alexandria database.

Cell: 4.490 4.490 6.989 Å, 90.00 90.00 120.00°
Atoms (fractional coordinates):
Cu1 0.667 0.333 0.288
Cu2 0.333 0.667 0.712
Th1 0.000 0.000 0.000
Sn1 0.667 0.333 0.710
Sn2 0.333 0.667 0.290
Li1 0.000 0.000 0.500

## Properties
Uncorrected energy in eV/atom: -4.631
Mass density in g cm⁻³: 8.21
Magnetization in μB/cell: 0.0



The following is a GGA-PBE calculation of a relaxed LiThCuSn crystal, from the Alexandria database.

Cell: 4.862 4.862 4.862 Å, 60.00 60.00 60.00°
Atoms (fractional coordinates):
Li1 0.750 0.750 0.750
Th1 0.000 0.000 0.000
Sn1 0.500 0.500 0.500
Cu1 0.250 0.250 0.250

## Properties
Uncorrected energy in eV/atom: -4.610
Mass density in g cm⁻³: 8.61
Magnetization in μB/cell: 0.0